Record 1
La5Y2Ho4: optimized geometry, GGA-PBE.

Values from the calculation:
Energy relative to the elements: 0.1783 eV/atom
Space-group type: Immm
Energy above the lowest structure with this stoichiometry: 5.0 kJ/mol of atoms

Cell: 3.5480 9.2085 12.9540 Å, 110.82 97.87 90.00°
Atoms (fractional coordinates):
La: 0.8550 0.0527 0.7100
La: 0.8550 0.6572 0.7100
La: 0.1450 0.3428 0.2900
La: 0.1450 0.9473 0.2900
La: 0.5000 0.0000 0.0000
Y: 0.2696 0.2696 0.5392
Y: 0.7304 0.7304 0.4608
Ho: 0.0000 0.3171 0.0000
Ho: 0.5963 0.5963 0.1925
Ho: 0.0000 0.6829 0.0000
Ho: 0.4037 0.4037 0.8075

=====

Record 2
Tb2TmS4: optimized geometry, GGA-PBE.

Values from the calculation:
Space-group type: C2/m
Formation energy (no corrections): -2.01 eV/atom
Energy above the lowest structure with this stoichiometry: 4.7 kJ/mol of atoms

Cell: 3.9405 6.9352 7.6100 Å, 119.62 105.00 90.00°
Atoms (fractional coordinates):
Tb: 0.7247 0.7321 0.4495
Tb: 0.2753 0.2679 0.5505
Tm: 0.0000 0.0000 0.0000
S: 0.8786 0.1883 0.7572
S: 0.1214 0.8117 0.2428
S: 0.6367 0.2697 0.2734
S: 0.3633 0.7303 0.7266

=====

Record 3
SmY2ReO8: optimized geometry, GGA-PBE.

Values from the calculation:
Space-group type: P2/m
Formation energy (no corrections): -2.75 eV/atom

Cell: 5.0767 5.0758 6.8317 Å, 90.00 90.00 90.19°
Atoms (fractional coordinates):
Sm: 0.0000 0.0000 0.5000
Y: 0.5000 0.5000 0.7490
Y: 0.5000 0.5000 0.2510
Re: 0.0000 0.0000 0.0000
O: 0.1815 0.8172 0.2031
O: 0.7332 0.7348 0.0000
O: 0.8185 0.1828 0.2031
O: 0.8185 0.1828 0.7969
O: 0.2668 0.2652 0.0000
O: 0.1815 0.8172 0.7969
O: 0.6872 0.6893 0.5000
O: 0.3128 0.3107 0.5000

=====

Record 4
Rb3BrF: optimized geometry, GGA-PBE.

Values from the calculation:
Space-group type: Pm-3m
Formation energy (no corrections): -1.57 eV/atom
Energy above the lowest structure with this stoichiometry: 0.0 kJ/mol of atoms

Cell: 5.8464 5.8464 5.8464 Å, 90.00 90.00 90.00°
Atoms (fractional coordinates):
Br: 0.5000 0.5000 0.5000
Rb: 0.0000 0.5000 0.0000
Rb: 0.0000 0.0000 0.5000
Rb: 0.5000 0.0000 0.0000
F: 0.0000 0.0000 0.0000

=====

Record 5
La10YTm4: optimized geometry, GGA-PBE.

Values from the calculation:
Energy relative to the elements: 0.1950 eV/atom
Space-group type: I4/mmm

Cell: 7.8685 9.1040 9.1040 Å, 79.24 64.40 64.40°
Atoms (fractional coordinates):
La: 0.2500 0.5000 0.5000
La: 0.7125 0.2188 0.7814
La: 0.0688 0.2186 0.2188
La: 0.5062 0.7814 0.7812
La: 0.7126 0.7812 0.2186
La: 0.2875 0.7812 0.2186
La: 0.7500 0.5000 0.5000
La: 0.2874 0.2188 0.7814
La: 0.4938 0.2186 0.2188
La: 0.9312 0.7814 0.7812
Y: 0.0000 0.0000 0.0000
Tm: 0.2314 0.0000 0.5371
Tm: 0.7686 0.4629 0.0000
Tm: 0.2314 0.5371 0.0000
Tm: 0.7686 0.0000 0.4629

=====

Record 6
ZrTi2Al: optimized geometry, GGA-PBE.

Values from the calculation:
Energy relative to the elements: -0.1318 eV/atom
Space-group type: F-43m

Cell: 4.7038 4.7038 4.7025 Å, 60.01 60.01 59.98°
Atoms (fractional coordinates):
Zr: 0.5000 0.5000 0.5000
Ti: 0.0000 0.0000 0.9999
Ti: 0.2500 0.2500 0.2501
Al: 0.7500 0.7500 0.7499

=====

Record 7
FeCuAs2: optimized geometry, GGA-PBE.

Values from the calculation:
Energy relative to the elements: 0.2764 eV/atom
Space-group type: Fm-3m
Energy above the lowest structure with this stoichiometry: 19.5 kJ/mol of atoms

Cell: 4.2883 4.2883 4.2883 Å, 60.00 60.00 60.00°
Atoms (fractional coordinates):
As: 0.2500 0.2500 0.2500
As: 0.7500 0.7500 0.7500
Fe: 0.0000 0.0000 0.0000
Cu: 0.5000 0.5000 0.5000

=====

Record 8
LaPm2Si6: optimized geometry, GGA-PBE.

Values from the calculation:
Space-group type: P6/mmm
Formation energy (no corrections): -0.60 eV/atom
Energy above the lowest structure with this stoichiometry: 0.0 kJ/mol of atoms

Cell: 4.1754 7.1735 7.1735 Å, 120.00 90.00 90.00°
Atoms (fractional coordinates):
La: 0.0000 0.0000 0.0000
Pm: 0.0000 0.3333 0.6667
Pm: 0.0000 0.6667 0.3333
Si: 0.5000 0.3358 0.3358
Si: 0.5000 0.6642 0.6642
Si: 0.5000 0.0000 0.6642
Si: 0.5000 0.6642 0.0000
Si: 0.5000 0.3358 0.0000
Si: 0.5000 0.0000 0.3358

=====

Record 9
TbAlPt4: optimized geometry, GGA-PBE.

Values from the calculation:
Energy relative to the elements: -0.9782 eV/atom
Space-group type: Cmcm

Cell: 3.9655 6.6064 8.2300 Å, 90.00 103.94 90.00°
Atoms (fractional coordinates):
Tb: 0.1008 0.2500 0.2016
Tb: 0.8992 0.7500 0.7984
Al: 0.2312 0.7500 0.4623
Al: 0.7688 0.2500 0.5377
Pt: 0.5000 0.5000 0.0000
Pt: 0.5000 0.0000 0.0000
Pt: 0.6774 0.9590 0.3548
Pt: 0.3226 0.0410 0.6452
Pt: 0.3226 0.4590 0.6452
Pt: 0.6774 0.5410 0.3548
Pt: 0.0768 0.7500 0.1535
Pt: 0.9232 0.2500 0.8465

=====

Record 10
Pm4Cd2Ir: optimized geometry, GGA-PBE.

Values from the calculation:
Energy relative to the elements: -0.2446 eV/atom
Space-group type: R-3m
Energy above the lowest structure with this stoichiometry: 0.0 kJ/mol of atoms

Cell: 5.2582 5.2582 9.0210 Å, 73.06 73.06 60.00°
Atoms (fractional coordinates):
Cd: 0.7558 0.7558 0.7327
Cd: 0.2442 0.2442 0.2673
Ir: 0.0000 0.0000 0.0000
Pm: 0.8823 0.8823 0.3530
Pm: 0.1177 0.1177 0.6470
Pm: 0.6297 0.6297 0.1109
Pm: 0.3703 0.3703 0.8891

=====

Record 11
K2HfV: optimized geometry, GGA-PBE.

Values from the calculation:
Energy relative to the elements: 1.4957 eV/atom
Space-group type: I-42d
Energy above the lowest structure with this stoichiometry: 0.0 kJ/mol of atoms

Cell: 12.7943 12.7943 9.3508 Å, 46.83 46.83 90.00°
Atoms (fractional coordinates):
K: 0.4769 0.1250 0.2500
K: 0.2731 0.6250 0.2500
K: 0.3750 0.5231 0.7500
K: 0.8750 0.7269 0.7500
Hf: 0.0000 0.0000 0.0000
Hf: 0.7500 0.2500 0.5000
V: 0.5000 0.5000 0.0000
V: 0.2500 0.7500 0.5000

=====

Record 12
YTcN3: optimized geometry, GGA-PBE.

Values from the calculation:
Space-group type: P1
Formation energy (no corrections): -0.47 eV/atom

Cell: 6.1143 4.9303 5.8990 Å, 115.36 61.57 110.60°
Atoms (fractional coordinates):
Y: 0.2221 0.4533 0.6114
Y: 0.5893 0.8768 0.1692
Tc: 0.2151 0.2114 0.0332
Tc: 0.6896 0.0904 0.6904
N: 0.7557 0.7491 0.6756
N: 0.2174 0.5749 0.0474
N: 0.8218 0.5734 0.7217
N: 0.5038 0.2955 0.1415
N: 0.9393 0.0928 0.3196
N: 0.3411 0.9821 0.6398

=====

Record 13
GeSCl: optimized geometry, GGA-PBE.

Values from the calculation:
Space-group type: P1
Formation energy (no corrections): -0.53 eV/atom
Energy above the lowest structure with this stoichiometry: 0.0 kJ/mol of atoms

Cell: 3.5617 12.2160 8.8359 Å, 141.65 127.30 64.01°
Atoms (fractional coordinates):
Ge: 0.7057 0.6708 0.2872
Ge: 0.5675 0.4654 0.6571
S: 0.7657 0.4353 0.4263
S: 0.8430 0.7279 0.1030
Cl: 0.8464 0.2592 0.6367
Cl: 0.9030 0.9520 0.6994

=====

Record 14
Ta2Re2Te: optimized geometry, GGA-PBE.

Values from the calculation:
Space-group type: P4/mbm
Formation energy (no corrections): 0.33 eV/atom
Energy above the lowest structure with this stoichiometry: 0.0 kJ/mol of atoms

Cell: 7.7947 7.7947 3.0825 Å, 90.00 90.00 90.00°
Atoms (fractional coordinates):
Re: 0.3611 0.8611 0.0000
Re: 0.8611 0.6389 0.0000
Re: 0.6389 0.1389 0.0000
Re: 0.1389 0.3611 0.0000
Te: 0.0000 0.0000 0.0000
Te: 0.5000 0.5000 0.0000
Ta: 0.1477 0.6477 0.5000
Ta: 0.6477 0.8523 0.5000
Ta: 0.8523 0.3523 0.5000
Ta: 0.3523 0.1477 0.5000

=====

Record 15
In9Hg4Bi2: optimized geometry, GGA-PBE.

Values from the calculation:
Energy relative to the elements: 0.0200 eV/atom
Space-group type: P-1

Cell: 3.4364 7.2254 17.9407 Å, 99.89 98.76 105.14°
Atoms (fractional coordinates):
In: 0.9851 0.9773 0.3025
In: 0.0149 0.0227 0.6975
In: 0.0037 0.0199 0.9042
In: 0.9963 0.9801 0.0958
In: 0.3303 0.6639 0.5704
In: 0.6697 0.3361 0.4296
In: 0.6943 0.3475 0.0414
In: 0.3057 0.6525 0.9586
In: 0.0000 0.0000 0.5000
Hg: 0.3306 0.6653 0.3727
Hg: 0.6694 0.3347 0.6273
Hg: 0.6331 0.3279 0.8328
Hg: 0.3669 0.6721 0.1672
Bi: 0.3405 0.6811 0.7668
Bi: 0.6595 0.3189 0.2332

=====

Record 16
NdSmY3: optimized geometry, GGA-PBE.

Values from the calculation:
Energy relative to the elements: 0.3112 eV/atom
Space-group type: P2_1/m
Energy above the lowest structure with this stoichiometry: 28.3 kJ/mol of atoms

Cell: 3.6777 8.4859 11.6855 Å, 90.00 90.00 101.10°
Atoms (fractional coordinates):
Nd: 0.3602 0.1361 0.2500
Nd: 0.6398 0.8639 0.7500
Sm: 0.1196 0.4819 0.2500
Sm: 0.8804 0.5181 0.7500
Y: 0.8296 0.1949 0.9995
Y: 0.1704 0.8051 0.0005
Y: 0.8296 0.1949 0.5005
Y: 0.1704 0.8051 0.4995
Y: 0.7149 0.8158 0.2500
Y: 0.2851 0.1842 0.7500

=====

Record 17
Pr3NdEr4: optimized geometry, GGA-PBE.

Values from the calculation:
Energy relative to the elements: 0.0232 eV/atom
Space-group type: Pmna
Energy above the lowest structure with this stoichiometry: 0.0 kJ/mol of atoms

Cell: 7.2048 7.2032 10.2298 Å, 90.00 90.00 90.00°
Atoms (fractional coordinates):
Pr: 0.0002 0.3105 0.0000
Pr: 0.2508 0.0606 0.7498
Pr: 0.7492 0.5606 0.7502
Pr: 0.9998 0.8105 0.5000
Pr: 0.7492 0.5606 0.2498
Pr: 0.2508 0.0606 0.2502
Nd: 0.5001 0.8107 0.0000
Nd: 0.4999 0.3107 0.5000
Er: 0.0003 0.8105 0.0000
Er: 0.4999 0.3106 0.0000
Er: 0.7500 0.0606 0.7501
Er: 0.2500 0.5606 0.7499
Er: 0.5001 0.8106 0.5000
Er: 0.9997 0.3105 0.5000
Er: 0.2500 0.5606 0.2501
Er: 0.7500 0.0606 0.2499

=====

Record 18
YBe2W: optimized geometry, GGA-PBE.

Values from the calculation:
Energy relative to the elements: 0.3159 eV/atom
Space-group type: C2/m
Energy above the lowest structure with this stoichiometry: 16.8 kJ/mol of atoms

Cell: 4.2919 4.2919 5.1616 Å, 70.13 70.13 49.12°
Atoms (fractional coordinates):
Y: 0.2500 0.2500 0.2500
Be: 0.0310 0.0310 0.8437
Be: 0.4690 0.4690 0.6563
W: 0.7500 0.7500 0.7500

=====

Record 19
In3Cu5Br12: optimized geometry, GGA-PBE.

Values from the calculation:
Space-group type: Ia-3d
Formation energy (no corrections): -0.39 eV/atom

Cell: 14.1879 14.1879 14.1879 Å, 109.47 109.47 109.47°
Atoms (fractional coordinates):
In: 0.7500 0.3750 0.1250
In: 0.8750 0.7500 0.1250
In: 0.3750 0.7500 0.6250
In: 0.2500 0.1250 0.3750
In: 0.8750 0.1250 0.2500
In: 0.3750 0.6250 0.2500
In: 0.6250 0.3750 0.7500
In: 0.1250 0.8750 0.7500
In: 0.7500 0.8750 0.6250
In: 0.6250 0.2500 0.3750
In: 0.1250 0.2500 0.8750
In: 0.2500 0.6250 0.8750
Cu: 0.1250 0.3750 0.2500
Cu: 0.0000 0.5000 0.0000
Cu: 0.0000 0.0000 0.0000
Cu: 0.3750 0.2500 0.1250
Cu: 0.5000 0.0000 0.5000
Cu: 0.5000 0.5000 0.0000
Cu: 0.1250 0.7500 0.3750
Cu: 0.7500 0.1250 0.8750
Cu: 0.7500 0.6250 0.3750
Cu: 0.3750 0.1250 0.7500
Cu: 0.6250 0.8750 0.2500
Cu: 0.5000 0.5000 0.5000
Cu: 0.5000 0.0000 0.0000
Cu: 0.0000 0.0000 0.5000
Cu: 0.2500 0.3750 0.6250
Cu: 0.2500 0.8750 0.1250
Cu: 0.0000 0.5000 0.5000
Cu: 0.8750 0.2500 0.6250
Cu: 0.6250 0.7500 0.8750
Cu: 0.8750 0.6250 0.7500
Br: 0.7038 0.1202 0.0242
Br: 0.3204 0.5242 0.4040
Br: 0.9758 0.3798 0.2962
Br: 0.5242 0.2038 0.1202
Br: 0.5836 0.7038 0.6796
Br: 0.9758 0.5960 0.1796
Br: 0.3204 0.7962 0.4164
Br: 0.0960 0.9164 0.1202
Br: 0.5960 0.9758 0.6796
Br: 0.7038 0.5836 0.1796
Br: 0.7962 0.4758 0.3798
Br: 0.8204 0.9040 0.0242
Br: 0.1202 0.7038 0.5242
Br: 0.3798 0.4040 0.0836
Br: 0.0836 0.9040 0.3798
Br: 0.4164 0.1202 0.5960
Br: 0.0836 0.1796 0.2038
Br: 0.4758 0.6796 0.0960
Br: 0.8204 0.9164 0.2962
Br: 0.1202 0.4164 0.0960
Br: 0.3798 0.9758 0.7962
Br: 0.5960 0.6202 0.4164
Br: 0.9040 0.8204 0.5242
Br: 0.7962 0.3204 0.9164
Br: 0.4040 0.3798 0.5836
Br: 0.0960 0.1796 0.4758
Br: 0.2038 0.6796 0.0836
Br: 0.1796 0.0836 0.7038
Br: 0.6202 0.0242 0.2038
Br: 0.8798 0.5836 0.9040
Br: 0.5242 0.3204 0.9040
Br: 0.5836 0.8798 0.4040
Br: 0.9164 0.8204 0.7962
Br: 0.9164 0.0960 0.6202
Br: 0.8798 0.2962 0.4758
Br: 0.1796 0.0960 0.9758
Br: 0.6202 0.5960 0.9164
Br: 0.4040 0.0242 0.3204
Br: 0.2962 0.4164 0.8204
Br: 0.2038 0.5242 0.6202
Br: 0.9040 0.0836 0.8798
Br: 0.6796 0.2038 0.5836
Br: 0.4758 0.7962 0.8798
Br: 0.0242 0.4040 0.8204
Br: 0.4164 0.2962 0.3204
Br: 0.0242 0.6202 0.7038
Br: 0.6796 0.4758 0.5960
Br: 0.2962 0.8798 0.9758

=====

Record 20
Na3Ca2Hg4: optimized geometry, GGA-PBE.

Values from the calculation:
Energy relative to the elements: -0.3109 eV/atom
Space-group type: C2/m

Cell: 5.1478 5.3175 10.2867 Å, 87.63 90.00 61.04°
Atoms (fractional coordinates):
Na: 0.3395 0.3210 0.4277
Na: 0.0000 0.0000 0.0000
Na: 0.6605 0.6790 0.5723
Ca: 0.3287 0.3427 0.7911
Ca: 0.6713 0.6573 0.2089
Hg: 0.6614 0.6772 0.8939
Hg: 0.0085 0.9830 0.3406
Hg: 0.9915 0.0170 0.6594
Hg: 0.3386 0.3228 0.1061